No. 1
Entry from the Alexandria database: a relaxed Zr3VBi crystal (PBE-GGA).

Cell lengths 4.943, 4.943, 4.943 Å; angles 90.00, 90.00, 90.00 degrees
Element x y z (fractional)
Zr  0.000  0.500  0.000
Zr  0.000  0.000  0.500
Zr  0.500  0.000  0.000
Bi  0.500  0.500  0.500
V  0.000  0.000  0.000

* distance to the lowest polymorph of the same formula: 0 meV per atom
* density of states at the Fermi level: 1.816 states/eV per atom
* E_tot: -36.53 eV per cell
* density: 7.34 g/cm3


No. 2
Entry from the Alexandria database: a relaxed Sm2DyCu2Ge2 crystal (PBE-GGA).

Cell lengths 4.237, 4.237, 10.508 Å; angles 78.37, 78.37, 60.00 degrees
Element x y z (fractional)
Ge  0.728  0.728  0.816
Cu  0.609  0.609  0.172
Sm  0.121  0.121  0.637
Sm  0.879  0.879  0.363
Ge  0.272  0.272  0.184
Cu  0.391  0.391  0.828
Dy  0.000  0.000  0.000

* density of states at the Fermi level: 0.676 states/eV per atom
* E_tot: -35.00 eV per cell
* density: 7.69 g/cm3


No. 3
Entry from the Alexandria database: a relaxed KIn2Ga crystal (PBE-GGA).

Cell lengths 4.629, 4.629, 10.974 Å; angles 90.00, 90.00, 90.00 degrees
Element x y z (fractional)
Ga  0.000  0.500  0.339
K  0.000  0.500  0.758
In  0.500  0.500  0.500
K  0.500  0.000  0.242
In  0.000  0.500  0.065
In  0.000  0.000  0.500
Ga  0.500  0.000  0.661
In  0.500  0.000  0.935

* density of states at the Fermi level: 0.328 states/eV per atom
* E_tot: -19.74 eV per cell
* density: 4.78 g/cm3


Repeat the first record exactly.
Entry from the Alexandria database: a relaxed Zr3VBi crystal (PBE-GGA).

Cell lengths 4.943, 4.943, 4.943 Å; angles 90.00, 90.00, 90.00 degrees
Element x y z (fractional)
Zr  0.000  0.500  0.000
Zr  0.000  0.000  0.500
Zr  0.500  0.000  0.000
Bi  0.500  0.500  0.500
V  0.000  0.000  0.000

* distance to the lowest polymorph of the same formula: 0 meV per atom
* density of states at the Fermi level: 1.816 states/eV per atom
* E_tot: -36.53 eV per cell
* density: 7.34 g/cm3


Question: Number 3 is which compound?
Answer: KIn2Ga


Question: The highest density of states at the Fermi level belongs to which entry?
Answer: Zr3VBi